No. 1
This record from Alexandria describes crystalline Fe2Re3 at its relaxed geometry. The functional is PBE-GGA.

Results
- total DFT energy (no corrections) (eV/atom) = -10.82
- ΔH_f (0 K) (meV/atom) = 35
- offset from the most stable computed form (meV per atom) = 47

Cell lengths 4.8375, 9.1351, 9.1351 Å; angles 89.90, 90.00, 90.00 degrees
Fractional coordinates of all 30 atoms:
Fe (0.4955, 0.5623, 0.7539)
Fe (0.4955, 0.4377, 0.2461)
Fe (0.0004, 0.9341, 0.2551)
Fe (0.0004, 0.0659, 0.7449)
Fe (0.4955, 0.7539, 0.5623)
Fe (0.4955, 0.2461, 0.4377)
Fe (0.0004, 0.2551, 0.9341)
Fe (0.0004, 0.7449, 0.0659)
Fe (0.4960, 0.5000, 0.5000)
Fe (0.9948, 0.0000, 0.0000)
Fe (0.2508, 0.6879, 0.3121)
Fe (0.2508, 0.3121, 0.6879)
Re (0.5021, 0.9011, 0.0989)
Re (0.5021, 0.0989, 0.9011)
Re (0.0077, 0.5967, 0.5967)
Re (0.0077, 0.4033, 0.4033)
Re (0.4972, 0.6338, 0.0354)
Re (0.4972, 0.3662, 0.9646)
Re (0.0015, 0.8647, 0.5326)
Re (0.0015, 0.1353, 0.4674)
Re (0.4972, 0.0354, 0.6338)
Re (0.4972, 0.9646, 0.3662)
Re (0.0015, 0.5326, 0.8647)
Re (0.0015, 0.4674, 0.1353)
Re (0.7530, 0.8119, 0.8119)
Re (0.7530, 0.1881, 0.1881)
Re (0.7496, 0.3154, 0.6846)
Re (0.7496, 0.6846, 0.3154)
Re (0.2522, 0.1820, 0.1820)
Re (0.2522, 0.8180, 0.8180)

---

No. 2
This record from Alexandria describes crystalline EuMgHgAu at its relaxed geometry. The functional is PBE-GGA.

Results
- total DFT energy (no corrections) (eV/atom) = -4.39
- ΔH_f (0 K) (meV/atom) = -524

Cell lengths 5.1374, 5.1374, 5.1374 Å; angles 60.00, 60.00, 60.00 degrees
Fractional coordinates of all 4 atoms:
Eu (0.2500, 0.2500, 0.2500)
Mg (0.7500, 0.7500, 0.7500)
Au (0.5000, 0.5000, 0.5000)
Hg (0.0000, 0.0000, 0.0000)

---

No. 3
This record from Alexandria describes crystalline LiNpTl2Br6 at its relaxed geometry. The functional is PBE-GGA.

Results
- formation energy without anion corrections (eV per formula unit) = -11.8
- total DFT energy (no corrections) (eV/atom) = -4.14

Cell lengths 7.6074, 8.0244, 10.9194 Å; angles 90.00, 90.45, 90.00 degrees
Fractional coordinates of all 20 atoms:
Li (0.5000, 0.0000, 0.5000)
Li (0.0000, 0.5000, 0.0000)
Np (0.5000, 0.0000, 0.0000)
Np (0.0000, 0.5000, 0.5000)
Tl (0.0224, 0.9256, 0.2491)
Tl (0.5224, 0.5744, 0.7491)
Tl (0.9776, 0.0744, 0.7509)
Tl (0.4776, 0.4256, 0.2509)
Br (0.3010, 0.6985, 0.0436)
Br (0.8010, 0.8015, 0.5436)
Br (0.6990, 0.3015, 0.9564)
Br (0.1990, 0.1985, 0.4564)
Br (0.3054, 0.7039, 0.4518)
Br (0.8054, 0.7961, 0.9518)
Br (0.6946, 0.2961, 0.5482)
Br (0.1946, 0.2039, 0.0482)
Br (0.9072, 0.5209, 0.2433)
Br (0.4072, 0.9791, 0.7433)
Br (0.0928, 0.4791, 0.7567)
Br (0.5928, 0.0209, 0.2567)

---

No. 4
This record from Alexandria describes crystalline Ac5Al at its relaxed geometry. The functional is PBE-GGA.

Results
- total DFT energy (no corrections) (eV/atom) = -4.04
- ΔH_f (0 K) (meV/atom) = 6

Cell lengths 5.3359, 5.3587, 8.7050 Å; angles 107.93, 90.00, 90.00 degrees
Fractional coordinates of all 6 atoms:
Ac (0.5000, 0.8422, 0.6844)
Ac (0.0000, 0.6612, 0.3223)
Ac (0.5000, 0.5000, 0.0000)
Ac (0.0000, 0.3388, 0.6777)
Ac (0.5000, 0.1578, 0.3156)
Al (0.0000, 0.0000, 0.0000)

---

No. 5
This record from Alexandria describes crystalline GeHSe2N at its relaxed geometry. The functional is PBE-GGA.

Results
- total DFT energy (no corrections) (eV/atom) = -3.71
- offset from the most stable computed form (meV per atom) = 0

Cell lengths 5.2295, 5.2295, 2.7064 Å; angles 90.00, 90.00, 90.00 degrees
Fractional coordinates of all 5 atoms:
H (0.0000, 0.0000, 0.0000)
Ge (0.5000, 0.5000, 0.5000)
Se (0.0000, 0.5000, 0.0000)
Se (0.5000, 0.0000, 0.0000)
N (0.0000, 0.0000, 0.5000)

---

No. 6
This record from Alexandria describes crystalline Rb2VCl2 at its relaxed geometry. The functional is PBE-GGA.

Results
- formation energy without anion corrections (eV per formula unit) = -2.4
- total DFT energy (no corrections) (eV/atom) = -3.44
- offset from the most stable computed form (meV per atom) = 0

Cell lengths 9.4853, 9.4853, 3.7423 Å; angles 90.00, 90.00, 90.00 degrees
Fractional coordinates of all 10 atoms:
V (0.0000, 0.0000, 0.0000)
V (0.5000, 0.5000, 0.0000)
Rb (0.3570, 0.8570, 0.0000)
Rb (0.8570, 0.6430, 0.0000)
Rb (0.6430, 0.1430, 0.0000)
Rb (0.1430, 0.3570, 0.0000)
Cl (0.1532, 0.6532, 0.5000)
Cl (0.6532, 0.8468, 0.5000)
Cl (0.8468, 0.3468, 0.5000)
Cl (0.3468, 0.1532, 0.5000)

---

Please write out number 5 again, unchanged.
This record from Alexandria describes crystalline GeHSe2N at its relaxed geometry. The functional is PBE-GGA.

Results
- total DFT energy (no corrections) (eV/atom) = -3.71
- offset from the most stable computed form (meV per atom) = 0

Cell lengths 5.2295, 5.2295, 2.7064 Å; angles 90.00, 90.00, 90.00 degrees
Fractional coordinates of all 5 atoms:
H (0.0000, 0.0000, 0.0000)
Ge (0.5000, 0.5000, 0.5000)
Se (0.0000, 0.5000, 0.0000)
Se (0.5000, 0.0000, 0.0000)
N (0.0000, 0.0000, 0.5000)

---

Question: The highest total DFT energy (no corrections) belongs to which entry?
Answer: Rb2VCl2

---

Copy entry 6 word for word.
This record from Alexandria describes crystalline Rb2VCl2 at its relaxed geometry. The functional is PBE-GGA.

Results
- formation energy without anion corrections (eV per formula unit) = -2.4
- total DFT energy (no corrections) (eV/atom) = -3.44
- offset from the most stable computed form (meV per atom) = 0

Cell lengths 9.4853, 9.4853, 3.7423 Å; angles 90.00, 90.00, 90.00 degrees
Fractional coordinates of all 10 atoms:
V (0.0000, 0.0000, 0.0000)
V (0.5000, 0.5000, 0.0000)
Rb (0.3570, 0.8570, 0.0000)
Rb (0.8570, 0.6430, 0.0000)
Rb (0.6430, 0.1430, 0.0000)
Rb (0.1430, 0.3570, 0.0000)
Cl (0.1532, 0.6532, 0.5000)
Cl (0.6532, 0.8468, 0.5000)
Cl (0.8468, 0.3468, 0.5000)
Cl (0.3468, 0.1532, 0.5000)

---

Question: Look up the total DFT energy (no corrections) of the sixth one.
Answer: -3.44 eV/atom